## NaCaMg2F7 (meta-GGA SCAN)

Data for a crystal of NaCaMg2F7 relaxed with PBEsol.

Output
- magnetic moment (μB per formula unit) = 0.06
- space group = No. 74
- uncorrected energy (eV per atom) = -8.1713
- E_form (uncorrected) (kJ/mol of atoms) = -362.1

Lattice parameters (Å, degrees): 7.2383 7.2383 7.2383 121.02 118.85 90.13
With the nearest neighbours (Å) after each atom.
Fractional positions:
Na: 0.5000 0.0000 0.0000  2 F 2.23
Na: 0.5000 0.5000 0.5000  2 F 2.23
Ca: 0.0000 0.0000 0.0000  6 F 2.20-2.44
Ca: 0.5000 0.0000 0.5000  6 F 2.20-2.44
Mg: 0.0000 0.0000 0.5000  6 F 1.97-1.98
Mg: 0.0000 0.5000 0.0000  6 F 1.97-1.98
Mg: 0.0000 0.5000 0.5000  6 F 1.98-1.99
Mg: 0.5000 0.5000 0.0000  6 F 1.98-1.99
F: 0.0709 0.4116 0.2383  2 Mg 1.98-1.99
F: 0.0709 0.8326 0.6593  2 Mg 1.98-1.99
F: 0.0826 0.8326 0.2500  2 Mg 1.97
F: 0.3225 0.5725 0.7500  2 Mg 1.98
F: 0.3267 0.1674 0.7383  2 Mg 1.98-1.99
F: 0.3267 0.5884 0.1593  2 Mg 1.98-1.99
F: 0.3687 0.1187 0.2500  2 Ca 2.20, 2 Na 2.23
F: 0.6313 0.8813 0.7500  2 Ca 2.20, 2 Na 2.23
F: 0.6733 0.4116 0.8407  2 Mg 1.98-1.99
F: 0.6733 0.8326 0.2617  2 Mg 1.98-1.99
F: 0.6775 0.4275 0.2500  2 Mg 1.98
F: 0.9174 0.1674 0.7500  2 Mg 1.97
F: 0.9291 0.1674 0.3407  2 Mg 1.98-1.99
F: 0.9291 0.5884 0.7617  2 Mg 1.98-1.99

=====

## CaMnO2F (meta-GGA SCAN)

Data for a crystal of CaMnO2F relaxed with PBEsol.

Output
- magnetic moment (μB per formula unit) = 6.00
- space group = No. 123
- uncorrected energy (eV per atom) = -10.3014
- E_form (uncorrected) (kJ/mol of atoms) = -146.4

Lattice parameters (Å, degrees): 4.2489 4.2489 4.1371 90.00 90.00 90.00
With the nearest neighbours (Å) after each atom.
Fractional positions:
Ca: 0.0000 0.0000 0.0000  2 F 2.07, 4 O 2.12
Mn: 0.5000 0.5000 0.5000  8 O 2.97, 4 F 3.00
O: 0.0000 0.5000 0.0000  2 Ca 2.12
O: 0.5000 0.0000 0.0000  2 Ca 2.12
F: 0.0000 0.0000 0.5000  2 Ca 2.07

=====

## CaMoF5 (meta-GGA SCAN)

Data for a crystal of CaMoF5 relaxed with PBEsol.

Output
- magnetic moment (μB per formula unit) = 3.00
- space group = No. 15
- uncorrected energy (eV per atom) = -12.0993
- E_form (uncorrected) (kJ/mol of atoms) = -309.4

Lattice parameters (Å, degrees): 5.6971 5.6971 7.7519 109.68 109.68 72.11
With the nearest neighbours (Å) after each atom.
Fractional positions:
Ca: 0.0366 0.9634 0.7500  5 F 2.19-2.41
Ca: 0.9634 0.0366 0.2500  5 F 2.19-2.41
Mo: 0.5000 0.5000 0.0000  6 F 2.01-2.06
Mo: 0.5000 0.5000 0.5000  6 F 2.01-2.06
F: 0.1881 0.7940 0.0302  1 Mo 2.05, 1 Ca 2.29
F: 0.2060 0.8119 0.4698  1 Mo 2.05, 1 Ca 2.29
F: 0.2372 0.2846 0.3756  1 Mo 2.01, 1 Ca 2.19
F: 0.2846 0.2372 0.8756  1 Mo 2.01, 1 Ca 2.19
F: 0.3959 0.6041 0.7500  2 Mo 2.06
F: 0.6041 0.3959 0.2500  2 Mo 2.06
F: 0.7154 0.7628 0.1244  1 Mo 2.01, 1 Ca 2.19
F: 0.7628 0.7154 0.6244  1 Mo 2.01, 1 Ca 2.19
F: 0.7940 0.1881 0.5302  1 Mo 2.05, 1 Ca 2.29
F: 0.8119 0.2060 0.9698  1 Mo 2.05, 1 Ca 2.29

=====

## NaCaN2F (meta-GGA SCAN)

Data for a crystal of NaCaN2F relaxed with PBEsol.

Output
- magnetic moment (μB per formula unit) = 4.00
- space group = No. 123
- uncorrected energy (eV per atom) = -7.2332
- E_form (uncorrected) (kJ/mol of atoms) = -3.2

Lattice parameters (Å, degrees): 4.3183 4.3183 3.9882 90.00 90.00 90.00
With the nearest neighbours (Å) after each atom.
Fractional positions:
Na: 0.0000 0.0000 0.0000  2 F 1.99, 4 N 2.16
Ca: 0.5000 0.5000 0.5000  8 N 2.94, 4 F 3.05
N: 0.0000 0.5000 0.0000  2 Na 2.16
N: 0.5000 0.0000 0.0000  2 Na 2.16
F: 0.0000 0.0000 0.5000  2 Na 1.99

=====

## CaN2OF (meta-GGA SCAN)

Data for a crystal of CaN2OF relaxed with PBEsol.

Output
- magnetic moment (μB per formula unit) = 7.00
- space group = No. 123
- uncorrected energy (eV per atom) = -6.8634
- E_form (uncorrected) (kJ/mol of atoms) = 71.4

Lattice parameters (Å, degrees): 4.9127 4.9127 4.2364 90.00 90.00 90.00
With the nearest neighbours (Å) after each atom.
Fractional positions:
Ca: 0.0000 0.0000 0.0000  2 F 2.12
N: 0.0000 0.5000 0.0000  2 Ca 2.46
N: 0.5000 0.0000 0.0000  2 Ca 2.46
O: 0.5000 0.5000 0.5000  8 N 3.24, 4 F 3.47
F: 0.0000 0.0000 0.5000  2 Ca 2.12

=====

## CaPbN2F (meta-GGA SCAN)

Data for a crystal of CaPbN2F relaxed with PBEsol.

Output
- magnetic moment (μB per formula unit) = 0.00
- space group = No. 123
- uncorrected energy (eV per atom) = -21.6838
- E_form (uncorrected) (kJ/mol of atoms) = -16.4

Lattice parameters (Å, degrees): 4.2329 4.2329 4.4167 90.00 90.00 90.00
With the nearest neighbours (Å) after each atom.
Fractional positions:
Ca: 0.0000 0.0000 0.0000  4 F 2.99, 8 N 3.06
Pb: 0.5000 0.5000 0.5000  4 N 2.12, 2 F 2.21
N: 0.0000 0.5000 0.5000  2 Pb 2.12
N: 0.5000 0.0000 0.5000  2 Pb 2.12
F: 0.5000 0.5000 0.0000  2 Pb 2.21

=====

## CaRhNF2 (meta-GGA SCAN)

Data for a crystal of CaRhNF2 relaxed with PBEsol.

Output
- magnetic moment (μB per formula unit) = 4.00
- space group = No. 123
- uncorrected energy (eV per atom) = -12.7099
- E_form (uncorrected) (kJ/mol of atoms) = -72.2

Lattice parameters (Å, degrees): 4.0680 4.0680 4.9695 90.00 90.00 90.00
With the nearest neighbours (Å) after each atom.
Fractional positions:
Ca: 0.0000 0.0000 0.0000  4 F 2.03
Rh: 0.5000 0.5000 0.5000  4 N 2.88, 8 F 3.21
N: 0.0000 0.0000 0.5000  2 Ca 2.48
F: 0.0000 0.5000 0.0000  2 Ca 2.03
F: 0.5000 0.0000 0.0000  2 Ca 2.03

=====

## CaSN2F (meta-GGA SCAN)

Data for a crystal of CaSN2F relaxed with PBEsol.

Output
- magnetic moment (μB per formula unit) = 0.00
- space group = No. 123
- uncorrected energy (eV per atom) = -8.5616
- E_form (uncorrected) (kJ/mol of atoms) = -26.9

Lattice parameters (Å, degrees): 3.4923 3.4923 4.6965 90.00 90.00 90.00
With the nearest neighbours (Å) after each atom.
Fractional positions:
Ca: 0.0000 0.0000 0.0000  4 F 2.47
S: 0.5000 0.5000 0.5000  4 N 1.75
N: 0.0000 0.5000 0.5000  2 S 1.75
N: 0.5000 0.0000 0.5000  2 S 1.75
F: 0.5000 0.5000 0.0000  2 S 2.35, 4 Ca 2.47

=====

## CaSnN2F (meta-GGA SCAN)

Data for a crystal of CaSnN2F relaxed with PBEsol.

Output
- magnetic moment (μB per formula unit) = 3.00
- space group = No. 123
- uncorrected energy (eV per atom) = -13.4529
- E_form (uncorrected) (kJ/mol of atoms) = 8.5

Lattice parameters (Å, degrees): 4.5293 4.5293 4.1266 90.00 90.00 90.00
With the nearest neighbours (Å) after each atom.
Fractional positions:
Ca: 0.0000 0.0000 0.0000  2 F 2.06, 4 N 2.26
Sn: 0.5000 0.5000 0.5000  8 N 3.06, 4 F 3.20
N: 0.0000 0.5000 0.0000  2 Ca 2.26
N: 0.5000 0.0000 0.0000  2 Ca 2.26
F: 0.0000 0.0000 0.5000  2 Ca 2.06

=====

## CaTcN2F (meta-GGA SCAN)

Data for a crystal of CaTcN2F relaxed with PBEsol.

Output
- magnetic moment (μB per formula unit) = 0.00
- space group = No. 123
- uncorrected energy (eV per atom) = -14.4445
- E_form (uncorrected) (kJ/mol of atoms) = -103.8

Lattice parameters (Å, degrees): 3.8572 3.8572 4.0752 90.00 90.00 90.00
With the nearest neighbours (Å) after each atom.
Fractional positions:
Ca: 0.0000 0.0000 0.0000  4 F 2.73, 8 N 2.81
Tc: 0.5000 0.5000 0.5000  4 N 1.93, 2 F 2.04
N: 0.0000 0.5000 0.5000  2 Tc 1.93
N: 0.5000 0.0000 0.5000  2 Tc 1.93
F: 0.5000 0.5000 0.0000  2 Tc 2.04

=====

## CaTlN2F (meta-GGA SCAN)

Data for a crystal of CaTlN2F relaxed with PBEsol.

Output
- magnetic moment (μB per formula unit) = 1.33
- space group = No. 123
- uncorrected energy (eV per atom) = -20.8207
- E_form (uncorrected) (kJ/mol of atoms) = 0.8

Lattice parameters (Å, degrees): 4.1834 4.1834 4.5475 90.00 90.00 90.00
With the nearest neighbours (Å) after each atom.
Fractional positions:
Ca: 0.0000 0.0000 0.0000  4 F 2.96, 8 N 3.09
Tl: 0.5000 0.5000 0.5000  4 N 2.09, 2 F 2.27
N: 0.0000 0.5000 0.5000  2 Tl 2.09
N: 0.5000 0.0000 0.5000  2 Tl 2.09
F: 0.5000 0.5000 0.0000  2 Tl 2.27

=====

## NaCaNb2O6F (meta-GGA SCAN)

Data for a crystal of NaCaNb2O6F relaxed with PBEsol.

Output
- magnetic moment (μB per formula unit) = 0.00
- space group = No. 74
- uncorrected energy (eV per atom) = -13.9991
- E_form (uncorrected) (kJ/mol of atoms) = -288.8

Lattice parameters (Å, degrees): 7.4058 7.4058 7.4058 120.45 119.53 90.02
With the nearest neighbours (Å) after each atom.
Fractional positions:
Na: 0.5000 0.0000 0.0000  2 F 2.31
Na: 0.5000 0.5000 0.5000  2 F 2.31
Ca: 0.0000 0.0000 0.0000  2 F 2.23
Ca: 0.5000 0.0000 0.5000  2 F 2.23
Nb: 0.0000 0.0000 0.5000  6 O 1.99
Nb: 0.0000 0.5000 0.0000  6 O 1.99
Nb: 0.0000 0.5000 0.5000  6 O 1.98-1.99
Nb: 0.5000 0.5000 0.0000  6 O 1.98-1.99
O: 0.0644 0.4253 0.2433  2 Nb 1.99
O: 0.0644 0.8211 0.6391  2 Nb 1.99
O: 0.0733 0.8233 0.2500  2 Nb 1.99
O: 0.3144 0.5644 0.7500  2 Nb 1.98
O: 0.3180 0.1789 0.7433  2 Nb 1.99
O: 0.3180 0.5747 0.1391  2 Nb 1.99
O: 0.6820 0.4253 0.8609  2 Nb 1.99
O: 0.6820 0.8211 0.2567  2 Nb 1.99
O: 0.6856 0.4356 0.2500  2 Nb 1.98
O: 0.9267 0.1767 0.7500  2 Nb 1.99
O: 0.9356 0.1789 0.3609  2 Nb 1.99
O: 0.9356 0.5747 0.7567  2 Nb 1.99
F: 0.3666 0.1166 0.2500  2 Ca 2.23, 2 Na 2.31
F: 0.6334 0.8834 0.7500  2 Ca 2.23, 2 Na 2.31